# Pm3Ni7P4

A relaxed structure of Pm3Ni7P4 (PBE, the Alexandria database).

## Properties
Fermi-level density of states in states/eV/atom: 0.734
DFT total energy in eV/cell: -175.77
Volume in Å³/atom: 14.96
Formation energy from the elements in eV/atom: -0.8230

Cell lengths 14.9244, 3.8580, 9.1669 Å; angles 90.00, 127.49, 90.00 degrees
Space group C2/m (No. 12)
Asymmetric unit:
Pm: 0.0000 0.0000 0.0000 [2 per cell]
Pm: 0.1840 0.5000 0.6792 [4 per cell]
Ni: 0.0000 0.0000 0.5000 [2 per cell]
Ni: 0.0044 0.5000 0.2807 [4 per cell]
Ni: 0.1558 0.0000 0.4153 [4 per cell]
Ni: 0.1938 0.5000 0.0145 [4 per cell]
P: 0.1080 0.0000 0.8216 [4 per cell]
P: 0.1612 0.5000 0.2898 [4 per cell]

***

# NaAcGaPt

A relaxed structure of NaAcGaPt (PBE, the Alexandria database).

## Properties
Fermi-level density of states in states/eV/atom: 0.481
DFT total energy in eV/cell: -64.45
Volume in Å³/atom: 24.83
Formation energy from the elements in eV/atom: -0.4041

Cell lengths 7.3512, 7.3512, 7.3512 Å; angles 90.00, 90.00, 90.00 degrees
Space group F-43m (No. 216)
Asymmetric unit:
Na: 0.0000 0.0000 0.0000 [4 per cell]
Ac: 0.0000 0.0000 0.5000 [4 per cell]
Ga: 0.2500 0.2500 0.7500 [4 per cell]
Pt: 0.2500 0.2500 0.2500 [4 per cell]

***

# LiMg6In4

A relaxed structure of LiMg6In4 (PBE, the Alexandria database).

## Properties
Fermi-level density of states in states/eV/atom: 0.373
DFT total energy in eV/cell: -22.78
Volume in Å³/atom: 25.04
Formation energy from the elements in eV/atom: -0.0315

Cell lengths 8.8699, 8.8699, 4.0420 Å; angles 90.00, 90.00, 120.00 degrees
Space group P-6m2 (No. 187)
Asymmetric unit:
Li: 0.0000 0.0000 0.0000 [1 per cell]
Mg: 0.0597 0.5298 0.0000 [3 per cell]
Mg: 0.3991 0.1995 0.5000 [3 per cell]
In: 0.1757 0.3515 0.5000 [3 per cell]
In: 0.6667 0.3333 0.0000 [1 per cell]

***

# Li2Zr2NpTe6

A relaxed structure of Li2Zr2NpTe6 (PBE, the Alexandria database).

## Properties
Fermi-level density of states in states/eV/atom: 1.085
Energy relative to the elements, uncorrected in meV per atom: -852.2
DFT total energy in eV/cell: -124.18
Volume in Å³/atom: 28.92

Cell lengths 7.1665, 12.4219, 7.5254 Å; angles 90.00, 108.23, 90.00 degrees
Space group C2/m (No. 12)
Asymmetric unit:
Li: 0.0000 0.1627 0.0000 [4 per cell]
Zr: 0.0000 0.3340 0.5000 [4 per cell]
Np: 0.0000 0.0000 0.5000 [2 per cell]
Te: 0.2344 0.5000 0.7523 [4 per cell]
Te: 0.2436 0.3271 0.2484 [8 per cell]

***

# RbSi

A relaxed structure of RbSi (PBE, the Alexandria database).

## Properties
Fermi-level density of states in states/eV/atom: 0.586
Energy relative to the elements, uncorrected in meV per atom: 111.6
DFT total energy in eV/cell: -49.34
Volume in Å³/atom: 45.50
Distance to the lowest polymorph of the same formula in meV per atom: 160

Cell lengths 9.3515, 10.3457, 7.5251 Å; angles 90.00, 90.00, 90.00 degrees
Space group Cmcm (No. 63)
Asymmetric unit:
Rb: 0.2463 0.1601 0.2500 [8 per cell]
Si: 0.0000 0.0904 0.5968 [8 per cell]

***

# KBaP2

A relaxed structure of KBaP2 (PBE, the Alexandria database).

## Properties
Fermi-level density of states in states/eV/atom: 0.680
DFT total energy in eV/cell: -16.13
Volume in Å³/atom: 33.07
Formation energy from the elements in eV/atom: -0.5724
Distance to the lowest polymorph of the same formula in meV per atom: 72

Cell lengths 4.3463, 4.3463, 7.0018 Å; angles 90.00, 90.00, 90.00 degrees
Space group P4/mmm (No. 123)
Asymmetric unit:
K: 0.0000 0.0000 0.0000 [1 per cell]
Ba: 0.0000 0.0000 0.5000 [1 per cell]
P: 0.5000 0.5000 0.3436 [2 per cell]

***

# Hf3CoSb

A relaxed structure of Hf3CoSb (PBE, the Alexandria database).

## Properties
Fermi-level density of states in states/eV/atom: 0.848
Energy relative to the elements, uncorrected in meV per atom: -271.6
DFT total energy in eV/cell: -169.79
Volume in Å³/atom: 20.74
Distance to the lowest polymorph of the same formula in meV per atom: 0

Cell lengths 9.2749, 6.1372, 8.0658 Å; angles 90.00, 115.41, 90.00 degrees
Space group C2/m (No. 12)
Asymmetric unit:
Hf: 0.0212 0.0000 0.2067 [4 per cell]
Hf: 0.1919 0.5000 0.8890 [4 per cell]
Hf: 0.1960 0.5000 0.2965 [4 per cell]
Co: 0.0000 0.3012 0.0000 [4 per cell]
Sb: 0.0000 0.2639 0.5000 [4 per cell]

***

# ScRh

A relaxed structure of ScRh (PBE, the Alexandria database).

## Properties
Fermi-level density of states in states/eV/atom: 0.268
DFT total energy in eV/cell: -30.32
Volume in Å³/atom: 17.60
Formation energy from the elements in eV/atom: -0.7383

Cell lengths 3.0777, 4.2717, 5.3561 Å; angles 90.00, 90.00, 90.00 degrees
Space group Pmmn (No. 59, origin choice 2)
Asymmetric unit:
Sc: 0.2500 0.2500 0.1818 [2 per cell]
Rh: 0.2500 0.2500 0.6787 [2 per cell]